No. 1
VASP calculation (PBE) on a relaxed ZrUCoOs crystal.

DOS at the Fermi energy ... 5.773 states/eV per cell
Space group ... F-43m (216)
Total energy ... -9.65 eV per atom
Calculated density ... 13.40 g cm⁻³

Cell lengths 4.6632, 4.6632, 4.6632 Å; angles 60.00, 60.00, 60.00 degrees
Atoms (fractional coordinates):
Os 0.2500 0.2500 0.2500
U 0.5000 0.5000 0.5000
Zr 0.0000 0.0000 0.0000
Co 0.7500 0.7500 0.7500

=====

No. 2
VASP calculation (PBE) on a relaxed VCo3Os crystal.

DOS at the Fermi energy ... 11.106 states/eV per cell
Space group ... Pm-3m (221)
Energy relative to the lowest polymorph listed for this composition ... 1147 meV/atom
Total energy ... -6.79 eV per atom
Calculated density ... 8.08 g cm⁻³

Cell lengths 4.4126, 4.4126, 4.4126 Å; angles 90.00, 90.00, 90.00 degrees
Atoms (fractional coordinates):
Os 0.0000 0.0000 0.0000
Co 0.0000 0.5000 0.0000
Co 0.0000 0.0000 0.5000
Co 0.5000 0.0000 0.0000
V 0.5000 0.5000 0.5000

=====

No. 3
VASP calculation (PBE) on a relaxed V4Co6Os7 crystal.

DOS at the Fermi energy ... 15.454 states/eV per cell
Space group ... Im-3m (229)
Total energy ... -9.15 eV per atom
Calculated density ... 13.82 g cm⁻³

Cell lengths 6.6553, 6.6553, 6.6553 Å; angles 109.47, 109.47, 109.47 degrees
Atoms (fractional coordinates):
V 0.5000 0.0000 0.0000
V 0.5000 0.5000 0.5000
V 0.0000 0.5000 0.0000
V 0.0000 0.0000 0.5000
Co 0.7055 0.0000 0.7055
Co 0.7055 0.7055 0.0000
Co 0.0000 0.2945 0.2945
Co 0.2945 0.0000 0.2945
Co 0.2945 0.2945 0.0000
Co 0.0000 0.7055 0.7055
Os 0.7500 0.5000 0.2500
Os 0.2500 0.7500 0.5000
Os 0.5000 0.7500 0.2500
Os 0.7500 0.2500 0.5000
Os 0.2500 0.5000 0.7500
Os 0.5000 0.2500 0.7500
Os 0.0000 0.0000 0.0000

=====

No. 4
VASP calculation (PBE) on a relaxed V2Co2Os crystal.

DOS at the Fermi energy ... 12.404 states/eV per cell
Space group ... P4/mbm (127)
Energy relative to the lowest polymorph listed for this composition ... 0 meV/atom
Total energy ... -8.82 eV per atom
Calculated density ... 11.05 g cm⁻³

Cell lengths 6.6332, 6.6332, 2.8002 Å; angles 90.00, 90.00, 90.00 degrees
Atoms (fractional coordinates):
Os 0.0000 0.0000 0.0000
Os 0.5000 0.5000 0.0000
Co 0.3739 0.8739 0.0000
Co 0.8739 0.6261 0.0000
Co 0.6261 0.1261 0.0000
Co 0.1261 0.3739 0.0000
V 0.1756 0.6756 0.5000
V 0.6756 0.8244 0.5000
V 0.8244 0.3244 0.5000
V 0.3244 0.1756 0.5000

=====

No. 5
VASP calculation (PBE) on a relaxed V2CoOs crystal.

DOS at the Fermi energy ... 3.390 states/eV per cell
Space group ... P4/mmm (123)
Total energy ... -9.32 eV per atom
Calculated density ... 11.21 g cm⁻³

Cell lengths 2.9971, 2.9971, 5.7891 Å; angles 90.00, 90.00, 90.00 degrees
Atoms (fractional coordinates):
Co 0.5000 0.5000 0.0000
Os 0.5000 0.5000 0.5000
V 0.0000 0.0000 0.7634
V 0.0000 0.0000 0.2366

=====

No. 6
VASP calculation (PBE) on a relaxed VCoOs crystal.

DOS at the Fermi energy ... 3.547 states/eV per cell
Space group ... I4mm (107)
Energy relative to the lowest polymorph listed for this composition ... 226 meV/atom
Total energy ... -9.16 eV per atom
Calculated density ... 12.99 g cm⁻³

Cell lengths 2.6181, 2.6181, 5.8942 Å; angles 102.83, 102.83, 90.00 degrees
Atoms (fractional coordinates):
Co 0.9493 0.9493 0.8986
Os 0.2909 0.2909 0.5817
V 0.6098 0.6098 0.2196

=====

No. 7
VASP calculation (PBE) on a relaxed V6CoOs crystal.

DOS at the Fermi energy ... 6.329 states/eV per cell
Space group ... Pm-3 (200)
Total energy ... -9.38 eV per atom
Calculated density ... 8.73 g cm⁻³

Cell lengths 6.6832, 6.6815, 4.7246 Å; angles 45.01, 45.02, 60.01 degrees
Atoms (fractional coordinates):
V 0.0002 0.5001 0.7470
V 0.7526 0.0001 0.7472
V 0.5001 0.2470 0.2529
V 0.2474 0.9999 0.2528
V 0.9998 0.4999 0.2530
V 0.4999 0.7530 0.7471
Co 0.0000 0.0000 0.0000
Os 0.5000 0.5000 0.5000

=====

No. 8
VASP calculation (PBE) on a relaxed V3CoOs2 crystal.

DOS at the Fermi energy ... 13.006 states/eV per cell
Space group ... Cmmm (65)
Total energy ... -9.69 eV per atom
Calculated density ... 12.31 g cm⁻³

Cell lengths 6.6813, 6.6813, 5.9650 Å; angles 90.00, 90.00, 143.12 degrees
Atoms (fractional coordinates):
V 0.8304 0.1696 0.7609
V 0.5000 0.5000 0.2454
V 0.1696 0.8304 0.2391
V 0.8304 0.1696 0.2391
V 0.1696 0.8304 0.7609
V 0.5000 0.5000 0.7546
Co 0.3347 0.6653 0.0000
Co 0.6653 0.3347 0.0000
Os 0.0000 0.0000 0.0000
Os 0.0000 0.0000 0.5000
Os 0.3340 0.6660 0.5000
Os 0.6660 0.3340 0.5000

=====

- calculated density of number 4 (V2Co2Os)?
  11.05 g cm⁻³

=====

- Which of these has the lowest DOS at the Fermi energy?
  V2CoOs